(1)
First-principles (PBE-GGA) data for P2RhPbS after structural relaxation, as listed in Alexandria via LeMat-Bulk.

Values from the calculation:
- Symmetry: P4/mmm
- E above lowest polymorph: 1.431 eV/atom
- Formation energy from raw total energies: 1.6991 eV/atom

Unit cell a=5.1122 b=5.1122 c=5.0883 alpha=90.00 beta=90.00 gamma=90.00
With the nearest neighbours (Å) after each atom.
Sites, in units of the cell vectors:
P: 0.0000 0.5000 0.0000  2 Pb 2.56
P: 0.5000 0.0000 0.0000  2 Pb 2.56
Rh: 0.0000 0.0000 0.5000  8 P 3.61, 4 S 3.61
Pb: 0.5000 0.5000 0.0000  2 S 2.54, 4 P 2.56
S: 0.5000 0.5000 0.5000  2 Pb 2.54



(2)
First-principles (PBE-GGA) data for Be22Re after structural relaxation, as listed in Alexandria via LeMat-Bulk.

Values from the calculation:
- Symmetry: Fd-3m
- Energy relative to the elements: -79 meV/atom

Unit cell a=8.1324 b=8.1324 c=8.1324 alpha=60.00 beta=60.00 gamma=60.00
With the nearest neighbours (Å) after each atom.
Sites, in units of the cell vectors:
Be: 0.0000 0.0000 0.0000  12 Be 2.04-2.24
Be: 0.0000 0.0000 0.5000  12 Be 2.04-2.24
Be: 0.0000 0.5000 0.0000  12 Be 2.04-2.24
Be: 0.0000 0.5000 0.5000  12 Be 2.45, 2 Re 2.49
Be: 0.0100 0.0100 0.7400  12 Be 2.04-2.27
Be: 0.0100 0.7400 0.0100  12 Be 2.04-2.27
Be: 0.0100 0.7400 0.7400  12 Be 2.04-2.27
Be: 0.1760 0.1760 0.4431  9 Be 2.13-2.34
Be: 0.1760 0.1760 0.7050  9 Be 2.13-2.34
Be: 0.1760 0.4431 0.1760  9 Be 2.13-2.34
Be: 0.1760 0.4431 0.7050  9 Be 2.13-2.34
Be: 0.1760 0.7050 0.1760  9 Be 2.13-2.34
Be: 0.1760 0.7050 0.4431  9 Be 2.13-2.34
Be: 0.2600 0.2600 0.9900  12 Be 2.04-2.27
Be: 0.2600 0.9900 0.2600  12 Be 2.04-2.27
Be: 0.2600 0.9900 0.9900  12 Be 2.04-2.27
Be: 0.2950 0.5569 0.8240  9 Be 2.13-2.34
Be: 0.2950 0.8240 0.5569  9 Be 2.13-2.34
Be: 0.2950 0.8240 0.8240  9 Be 2.13-2.34
Be: 0.4431 0.1760 0.1760  9 Be 2.13-2.34
Be: 0.4431 0.1760 0.7050  9 Be 2.13-2.34
Be: 0.4431 0.7050 0.1760  9 Be 2.13-2.34
Be: 0.5000 0.0000 0.0000  12 Be 2.04-2.24
Be: 0.5000 0.0000 0.5000  12 Be 2.45, 2 Re 2.49
Be: 0.5000 0.5000 0.0000  12 Be 2.45, 2 Re 2.49
Be: 0.5000 0.5000 0.5000  12 Be 2.45, 2 Re 2.49
Be: 0.5569 0.2950 0.8240  9 Be 2.13-2.34
Be: 0.5569 0.8240 0.2950  9 Be 2.13-2.34
Be: 0.5569 0.8240 0.8240  9 Be 2.13-2.34
Be: 0.7050 0.1760 0.1760  9 Be 2.13-2.34
Be: 0.7050 0.1760 0.4431  9 Be 2.13-2.34
Be: 0.7050 0.4431 0.1760  9 Be 2.13-2.34
Be: 0.7400 0.0100 0.0100  12 Be 2.04-2.27
Be: 0.7400 0.0100 0.7400  12 Be 2.04-2.27
Be: 0.7400 0.7400 0.0100  12 Be 2.04-2.27
Be: 0.8240 0.2950 0.5569  9 Be 2.13-2.34
Be: 0.8240 0.2950 0.8240  9 Be 2.13-2.34
Be: 0.8240 0.5569 0.2950  9 Be 2.13-2.34
Be: 0.8240 0.5569 0.8240  9 Be 2.13-2.34
Be: 0.8240 0.8240 0.2950  9 Be 2.13-2.34
Be: 0.8240 0.8240 0.5569  9 Be 2.13-2.34
Be: 0.9900 0.2600 0.2600  12 Be 2.04-2.27
Be: 0.9900 0.2600 0.9900  12 Be 2.04-2.27
Be: 0.9900 0.9900 0.2600  12 Be 2.04-2.27
Re: 0.3750 0.3750 0.3750  16 Be 2.49-2.52
Re: 0.6250 0.6250 0.6250  16 Be 2.49-2.52



(3)
First-principles (PBE-GGA) data for Tl2MoOs after structural relaxation, as listed in Alexandria via LeMat-Bulk.

Values from the calculation:
- Symmetry: P4/mmm
- Energy relative to the elements: 1150 meV/atom
- E above lowest polymorph: 0.732 eV/atom

Unit cell a=4.2820 b=4.2820 c=4.1550 alpha=90.00 beta=90.00 gamma=90.00
With the nearest neighbours (Å) after each atom.
Sites, in units of the cell vectors:
Tl: 0.0000 0.5000 0.0000  4 Mo 2.98, 4 Os 2.98, 4 Tl 3.03
Tl: 0.5000 0.0000 0.0000  4 Mo 2.98, 4 Os 2.98, 4 Tl 3.03
Mo: 0.0000 0.0000 0.5000  8 Tl 2.98, 4 Os 3.03
Os: 0.5000 0.5000 0.5000  8 Tl 2.98, 4 Mo 3.03



(4)
First-principles (PBE-GGA) data for Mn2OsCl after structural relaxation, as listed in Alexandria via LeMat-Bulk.

Values from the calculation:
- Symmetry: Cmmm
- E above lowest polymorph: 0.494 eV/atom
- Formation energy from raw total energies: 0.5753 eV/atom

Unit cell a=6.2153 b=7.0552 c=2.8378 alpha=90.00 beta=90.00 gamma=90.00
With the nearest neighbours (Å) after each atom.
Sites, in units of the cell vectors:
Mn: 0.2500 0.2500 0.0000  4 Cl 2.75, 4 Os 2.75, 2 Mn 2.84
Mn: 0.2500 0.7500 0.0000  4 Cl 2.75, 4 Os 2.75, 2 Mn 2.84
Mn: 0.7500 0.2500 0.0000  4 Cl 2.75, 4 Os 2.75, 2 Mn 2.84
Mn: 0.7500 0.7500 0.0000  4 Os 2.75, 4 Cl 2.75, 2 Mn 2.84
Os: 0.0000 0.0000 0.5000  8 Mn 2.75, 2 Os 2.84
Os: 0.5000 0.5000 0.5000  8 Mn 2.75, 2 Os 2.84
Cl: 0.0000 0.5000 0.5000  8 Mn 2.75, 2 Cl 2.84
Cl: 0.5000 0.0000 0.5000  8 Mn 2.75, 2 Cl 2.84



(5)
First-principles (PBE-GGA) data for CuMo2Pb after structural relaxation, as listed in Alexandria via LeMat-Bulk.

Values from the calculation:
- Symmetry: C2/m
- Energy relative to the elements: 674 meV/atom

Unit cell a=5.4691 b=9.2144 c=2.8529 alpha=90.00 beta=106.41 gamma=90.00
With the nearest neighbours (Å) after each atom.
Sites, in units of the cell vectors:
Cu: 0.0000 0.0000 0.0000  2 Pb 2.73, 4 Mo 2.85, 2 Cu 2.85
Cu: 0.5000 0.5000 0.0000  2 Pb 2.73, 4 Mo 2.85, 2 Cu 2.85
Mo: 0.2500 0.2500 0.5000  4 Mo 2.73-2.85, 2 Cu 2.85, 2 Pb 2.85
Mo: 0.2500 0.7500 0.5000  4 Mo 2.73-2.85, 2 Pb 2.85, 2 Cu 2.85
Mo: 0.7500 0.2500 0.5000  4 Mo 2.73-2.85, 2 Cu 2.85, 2 Pb 2.85
Mo: 0.7500 0.7500 0.5000  4 Mo 2.73-2.85, 2 Pb 2.85, 2 Cu 2.85
Pb: 0.0000 0.5000 0.0000  2 Cu 2.73, 4 Mo 2.85, 2 Pb 2.85
Pb: 0.5000 0.0000 0.0000  2 Cu 2.73, 4 Mo 2.85, 2 Pb 2.85



(6)
First-principles (PBE-GGA) data for TaIn2Ag after structural relaxation, as listed in Alexandria via LeMat-Bulk.

Values from the calculation:
- Symmetry: P2/m
- Energy relative to the elements: 269 meV/atom
- E above lowest polymorph: 0.118 eV/atom

Unit cell a=2.9815 b=4.5359 c=6.1012 alpha=90.00 beta=92.77 gamma=90.00
With the nearest neighbours (Å) after each atom.
Sites, in units of the cell vectors:
Ta: 0.0000 0.0000 0.0000  2 Ta 2.98, 8 In 3.06-3.09, 2 Ag 3.33
In: 0.4652 0.5000 0.7630  2 Ag 2.78, 3 In 2.89-2.98, 4 Ta 3.06-3.09
In: 0.5348 0.5000 0.2370  2 Ag 2.78, 3 In 2.89-2.98, 4 Ta 3.06-3.09
Ag: 0.5000 0.0000 0.5000  4 In 2.78, 2 Ag 2.98



(7)
First-principles (PBE-GGA) data for TbDy4Er6 after structural relaxation, as listed in Alexandria via LeMat-Bulk.

Values from the calculation:
- Symmetry: I-42m
- Energy relative to the elements: 460 meV/atom
- E above lowest polymorph: 0.333 eV/atom

Unit cell a=8.3984 b=8.3984 c=8.3984 alpha=126.62 beta=126.62 gamma=78.87
With the nearest neighbours (Å) after each atom.
Sites, in units of the cell vectors:
Tb: 0.0000 0.0000 0.0000  8 Er 3.52-3.77, 4 Dy 3.68
Dy: 0.2550 0.2550 0.6635  3 Er 2.98-3.19, 2 Dy 3.23
Dy: 0.4085 0.7450 0.0000  3 Er 2.98-3.19, 2 Dy 3.23
Dy: 0.5915 0.5915 0.3365  3 Er 2.98-3.19, 2 Dy 3.23
Dy: 0.7450 0.4085 0.0000  3 Er 2.98-3.19, 2 Dy 3.23
Er: 0.0000 0.5000 0.5000  4 Dy 2.98
Er: 0.0575 0.5734 0.0000  4 Dy 3.19-3.57, 1 Tb 3.52
Er: 0.4266 0.4266 0.4841  4 Dy 3.19-3.57, 1 Tb 3.52
Er: 0.5000 0.0000 0.5000  4 Dy 2.98
Er: 0.5734 0.0575 0.0000  4 Dy 3.19-3.57, 1 Tb 3.52
Er: 0.9425 0.9425 0.5159  4 Dy 3.19-3.57, 1 Tb 3.52



(8)
First-principles (PBE-GGA) data for BiBSeBr2 after structural relaxation, as listed in Alexandria via LeMat-Bulk.

Values from the calculation:
- Symmetry: P4/mmm
- E above lowest polymorph: 0.402 eV/atom
- Formation energy from raw total energies: 0.8556 eV/atom

Unit cell a=5.6828 b=5.6828 c=5.6510 alpha=90.00 beta=90.00 gamma=90.00
With the nearest neighbours (Å) after each atom.
Sites, in units of the cell vectors:
Bi: 0.0000 0.0000 0.0000  2 Se 2.83, 4 Br 2.84
B: 0.5000 0.5000 0.5000  8 Br 4.01, 4 Se 4.02
Se: 0.0000 0.0000 0.5000  2 Bi 2.83
Br: 0.0000 0.5000 0.0000  2 Bi 2.84
Br: 0.5000 0.0000 0.0000  2 Bi 2.84